Below is an optimized crystal structure of PmDy4TmS8, with properties calculated at the GGA-PBE level.

abc: 8.055 8.055 8.055
angles: 60.17 60.17 60.17
Atoms (fractional coordinates):
Pm 0.000 0.000 0.000
Dy 0.126 0.624 0.624
Dy 0.249 0.249 0.249
Dy 0.624 0.126 0.624
Dy 0.624 0.624 0.126
Tm 0.624 0.624 0.624
S 0.381 0.381 0.381
S 0.384 0.384 0.851
S 0.384 0.851 0.384
S 0.407 0.861 0.861
S 0.851 0.384 0.384
S 0.861 0.407 0.861
S 0.861 0.861 0.407
S 0.865 0.865 0.865

**SG**: R3m
**V**: 26.50 Å³ per atom
**Fermi-level density of states**: 8.529 states/eV per cell
**E_form (uncorrected)**: -1.93 eV per atom
**Crystal system**: trigonal

Below is an optimized crystal structure of Pm2DyTmS6, with properties calculated at the GGA-PBE level.

abc: 7.384 7.384 7.384
angles: 56.61 56.61 56.61
Atoms (fractional coordinates):
Pm 0.000 0.000 0.000
Pm 0.499 0.499 0.499
Dy 0.205 0.205 0.205
Tm 0.703 0.703 0.703
S 0.085 0.417 0.817
S 0.319 0.912 0.590
S 0.417 0.817 0.085
S 0.590 0.319 0.912
S 0.817 0.085 0.417
S 0.912 0.590 0.319

**SG**: R3
**V**: 26.24 Å³ per atom
**Fermi-level density of states**: 0.000 states/eV per cell
**E_form (uncorrected)**: -2.04 eV per atom
**Crystal system**: trigonal

Below is an optimized crystal structure of PmDy2TmS6, with properties calculated at the GGA-PBE level.

abc: 7.365 7.365 7.365
angles: 56.23 56.23 56.23
Atoms (fractional coordinates):
Pm 0.000 0.000 0.000
Dy 0.294 0.294 0.294
Dy 0.797 0.797 0.797
Tm 0.495 0.495 0.495
S 0.095 0.684 0.408
S 0.202 0.591 0.891
S 0.408 0.095 0.684
S 0.591 0.891 0.202
S 0.684 0.408 0.095
S 0.891 0.202 0.591

**SG**: R3
**V**: 25.79 Å³ per atom
**Fermi-level density of states**: 0.000 states/eV per cell
**E_form (uncorrected)**: -2.05 eV per atom
**Crystal system**: trigonal

Below is an optimized crystal structure of Pm4Dy3TmS8, with properties calculated at the GGA-PBE level.

abc: 7.982 7.982 7.982
angles: 59.10 59.10 59.10
Atoms (fractional coordinates):
Pm 0.000 0.000 0.000
Pm 0.000 0.500 0.500
Pm 0.500 0.000 0.500
Pm 0.500 0.500 0.000
Dy 0.000 0.000 0.500
Dy 0.000 0.500 0.000
Dy 0.500 0.000 0.000
Tm 0.500 0.500 0.500
S 0.246 0.246 0.246
S 0.248 0.743 0.743
S 0.257 0.257 0.752
S 0.257 0.752 0.257
S 0.743 0.248 0.743
S 0.743 0.743 0.248
S 0.752 0.257 0.257
S 0.754 0.754 0.754

**SG**: R-3m
**V**: 22.01 Å³ per atom
**Fermi-level density of states**: 7.587 states/eV per cell
**E_form (uncorrected)**: -2.01 eV per atom
**Crystal system**: trigonal

Below is an optimized crystal structure of Pm2DyTm3S6, with properties calculated at the GGA-PBE level.

abc: 8.780 8.780 7.910
angles: 103.96 103.96 25.57
Atoms (fractional coordinates):
Pm 0.167 0.167 0.335
Pm 0.833 0.833 0.665
Dy 0.500 0.500 0.000
Tm 0.168 0.168 0.833
Tm 0.500 0.500 0.500
Tm 0.832 0.832 0.167
S 0.004 0.004 0.748
S 0.333 0.333 0.929
S 0.338 0.338 0.406
S 0.662 0.662 0.594
S 0.667 0.667 0.071
S 0.996 0.996 0.252

**SG**: C2/m
**V**: 21.25 Å³ per atom
**Fermi-level density of states**: 4.860 states/eV per cell
**E_form (uncorrected)**: -1.98 eV per atom
**Crystal system**: monoclinic

Below is an optimized crystal structure of Pm3Dy3TmS8, with properties calculated at the GGA-PBE level.

abc: 7.942 7.942 7.942
angles: 59.49 59.49 59.49
Atoms (fractional coordinates):
Pm 0.000 0.500 0.500
Pm 0.500 0.000 0.500
Pm 0.500 0.500 0.000
Dy 0.000 0.000 0.500
Dy 0.000 0.500 0.000
Dy 0.500 0.000 0.000
Tm 0.500 0.500 0.500
S 0.246 0.246 0.246
S 0.248 0.745 0.745
S 0.255 0.255 0.752
S 0.255 0.752 0.255
S 0.745 0.248 0.745
S 0.745 0.745 0.248
S 0.752 0.255 0.255
S 0.754 0.754 0.754

**SG**: R-3m
**V**: 23.34 Å³ per atom
**Fermi-level density of states**: 6.891 states/eV per cell
**E_form (uncorrected)**: -2.06 eV per atom
**Crystal system**: trigonal

Below is an optimized crystal structure of Pm4DyTm3S8, with properties calculated at the GGA-PBE level.

abc: 7.971 7.971 7.971
angles: 58.76 58.76 58.76
Atoms (fractional coordinates):
Pm 0.000 0.000 0.000
Pm 0.000 0.500 0.500
Pm 0.500 0.000 0.500
Pm 0.500 0.500 0.000
Dy 0.500 0.500 0.500
Tm 0.000 0.000 0.500
Tm 0.000 0.500 0.000
Tm 0.500 0.000 0.000
S 0.241 0.746 0.746
S 0.243 0.243 0.243
S 0.254 0.254 0.759
S 0.254 0.759 0.254
S 0.746 0.241 0.746
S 0.746 0.746 0.241
S 0.757 0.757 0.757
S 0.759 0.254 0.254

**SG**: R-3m
**V**: 21.75 Å³ per atom
**Fermi-level density of states**: 6.941 states/eV per cell
**E_form (uncorrected)**: -1.99 eV per atom
**Crystal system**: trigonal

Below is an optimized crystal structure of Pm3Dy4TmS8, with properties calculated at the GGA-PBE level.

abc: 7.903 7.903 7.903
angles: 59.87 59.87 59.87
Atoms (fractional coordinates):
Pm 0.000 0.500 0.500
Pm 0.500 0.000 0.500
Pm 0.500 0.500 0.000
Dy 0.000 0.000 0.500
Dy 0.000 0.500 0.000
Dy 0.500 0.000 0.000
Dy 0.500 0.500 0.500
Tm 0.000 0.000 0.000
S 0.239 0.752 0.752
S 0.246 0.246 0.246
S 0.248 0.248 0.761
S 0.248 0.761 0.248
S 0.752 0.239 0.752
S 0.752 0.752 0.239
S 0.754 0.754 0.754
S 0.761 0.248 0.248

**SG**: R-3m
**V**: 21.75 Å³ per atom
**Fermi-level density of states**: 8.398 states/eV per cell
**E_form (uncorrected)**: -1.99 eV per atom
**Crystal system**: trigonal

Below is an optimized crystal structure of PmDy2Tm3S6, with properties calculated at the GGA-PBE level.

abc: 8.714 8.714 7.843
angles: 103.52 103.52 25.70
Atoms (fractional coordinates):
Pm 0.000 0.000 0.000
Dy 0.334 0.334 0.669
Dy 0.666 0.666 0.331
Tm 0.000 0.000 0.500
Tm 0.335 0.335 0.166
Tm 0.665 0.665 0.834
S 0.166 0.166 0.587
S 0.172 0.172 0.081
S 0.499 0.499 0.262
S 0.501 0.501 0.738
S 0.828 0.828 0.919
S 0.834 0.834 0.413

**SG**: C2/m
**V**: 20.90 Å³ per atom
**Fermi-level density of states**: 4.989 states/eV per cell
**E_form (uncorrected)**: -1.97 eV per atom
**Crystal system**: monoclinic

Below is an optimized crystal structure of PmDyTm4S8, with properties calculated at the GGA-PBE level.

abc: 8.020 8.020 8.020
angles: 59.81 59.81 59.81
Atoms (fractional coordinates):
Pm 0.000 0.000 0.000
Dy 0.625 0.625 0.625
Tm 0.128 0.625 0.625
Tm 0.251 0.251 0.251
Tm 0.625 0.128 0.625
Tm 0.625 0.625 0.128
S 0.380 0.380 0.856
S 0.380 0.856 0.380
S 0.383 0.383 0.383
S 0.409 0.867 0.867
S 0.856 0.380 0.380
S 0.864 0.864 0.864
S 0.867 0.409 0.867
S 0.867 0.867 0.409

**SG**: R3m
**V**: 25.94 Å³ per atom
**Fermi-level density of states**: 8.257 states/eV per cell
**E_form (uncorrected)**: -1.92 eV per atom
**Crystal system**: trigonal

Below is an optimized crystal structure of Pm2Dy3YS6, with properties calculated at the GGA-PBE level.

abc: 8.831 8.831 7.947
angles: 103.28 103.28 25.75
Atoms (fractional coordinates):
Pm 0.167 0.167 0.335
Pm 0.833 0.833 0.665
Dy 0.168 0.168 0.833
Dy 0.500 0.500 0.500
Dy 0.832 0.832 0.167
Y 0.500 0.500 0.000
S 0.003 0.003 0.751
S 0.334 0.334 0.925
S 0.336 0.336 0.410
S 0.664 0.664 0.590
S 0.666 0.666 0.075
S 0.997 0.997 0.249

**SG**: C2/m
**V**: 21.80 Å³ per atom
**Fermi-level density of states**: 5.223 states/eV per cell
**E_form (uncorrected)**: -2.01 eV per atom
**Crystal system**: monoclinic

Below is an optimized crystal structure of Pm4DyYS8, with properties calculated at the GGA-PBE level.

abc: 8.198 8.198 8.198
angles: 60.17 60.17 60.17
Atoms (fractional coordinates):
Pm 0.000 0.000 0.000
Pm 0.127 0.623 0.623
Pm 0.623 0.127 0.623
Pm 0.623 0.623 0.127
Dy 0.249 0.249 0.249
Y 0.624 0.624 0.624
S 0.378 0.378 0.378
S 0.384 0.384 0.858
S 0.384 0.858 0.384
S 0.401 0.862 0.862
S 0.858 0.384 0.384
S 0.862 0.401 0.862
S 0.862 0.862 0.401
S 0.867 0.867 0.867

**SG**: R3m
**V**: 27.93 Å³ per atom
**Fermi-level density of states**: 8.526 states/eV per cell
**E_form (uncorrected)**: -1.92 eV per atom
**Crystal system**: trigonal